(1)
A plane-wave DFT calculation with PBE was carried out for a geometry-optimized Dy6ErPu structure.

a b c (Å): 6.4117 6.6805 6.8390
angles (deg): 119.20 93.57 98.12
Last column: nearest neighbours and their distance in Å.
Space group P-1 (No. 2)
Inequivalent atoms, fractional coordinates:
Dy1 0.2272 0.4688 0.4042 [2 per cell]  6 Dy 3.25-3.59, 1 Er 3.45, 1 Pu 3.63
Dy2 0.2486 0.9975 0.9330 [2 per cell]  5 Dy 3.21-3.48, 1 Pu 3.28, 1 Er 3.46
Dy3 0.2561 0.5138 0.9235 [2 per cell]  6 Dy 3.21-3.52, 1 Pu 3.31
Er1 0.5000 0.0000 0.5000 [1 per cell]  2 Pu 3.21, 4 Dy 3.45-3.46
Pu1 0.0000 0.0000 0.5000 [1 per cell]  2 Er 3.21, 4 Dy 3.28-3.31

## Properties
* energy: -5.589 eV per atom
* formation energy from the elements: 0.225 eV per atom


(2)
A plane-wave DFT calculation with PBE was carried out for a geometry-optimized Tm5Sc4Tl2 structure.

a b c (Å): 3.4586 8.6885 20.9695
angles (deg): 90.00 90.00 90.00
Last column: nearest neighbours and their distance in Å.
Space group Immm (No. 71)
Inequivalent atoms, fractional coordinates:
Tm1 0.0000 0.0000 0.0000 [2 per cell]  4 Sc 3.25, 2 Tm 3.46
Tm2 0.0000 0.2988 0.3537 [8 per cell]  1 Tl 3.12, 3 Sc 3.23-3.30, 2 Tm 3.46
Sc1 0.0000 0.1829 0.5000 [4 per cell]  5 Sc 3.08-3.18, 4 Tm 3.23-3.25
Sc2 0.0000 0.5000 0.0948 [4 per cell]  1 Tl 2.85, 4 Sc 3.08
Tl1 0.0000 0.5000 0.2306 [4 per cell]  1 Sc 2.85, 2 Tm 3.12

## Properties
* energy: -4.720 eV per atom
* formation energy from the elements: 0.045 eV per atom


(3)
A plane-wave DFT calculation with PBE was carried out for a geometry-optimized Tc4OsAu structure.

a b c (Å): 7.2038 7.2038 7.2038
angles (deg): 90.00 90.00 90.00
Last column: nearest neighbours and their distance in Å.
Space group F-43m (No. 216)
Inequivalent atoms, fractional coordinates:
Tc1 0.1241 0.1241 0.1241 [16 per cell]  6 Tc 2.53-2.56
Os1 0.0000 0.0000 0.5000 [4 per cell]  12 Tc 2.99, 4 Au 3.12
Au1 0.2500 0.2500 0.7500 [4 per cell]  12 Tc 2.98, 4 Os 3.12

## Properties
* energy: -8.825 eV per atom
* formation energy from the elements: 0.504 eV per atom


(4)
A plane-wave DFT calculation with PBE was carried out for a geometry-optimized SmThSe2O structure.

a b c (Å): 4.1229 4.1229 14.2812
angles (deg): 90.00 90.00 90.00
Last column: nearest neighbours and their distance in Å.
Space group P4/nmm (No. 129, origin choice 2)
Inequivalent atoms, fractional coordinates:
Sm1 0.2500 0.2500 0.0775 [2 per cell]  4 O 2.34
Th1 0.2500 0.2500 0.6120 [2 per cell]  5 Se 2.77-2.92
Se1 0.2500 0.2500 0.3896 [2 per cell]  5 Th 2.92-3.18
Se2 0.2500 0.2500 0.8061 [2 per cell]  1 Th 2.77
O1 0.2500 0.7500 0.0000 [2 per cell]  4 Sm 2.34

## Properties
* energy: -7.101 eV per atom


(5)
A plane-wave DFT calculation with PBE was carried out for a geometry-optimized Sr5GeSb2 structure.

a b c (Å): 13.7462 9.9290 8.5707
angles (deg): 90.00 90.00 90.00
Last column: nearest neighbours and their distance in Å.
Space group Pnma (No. 62)
Inequivalent atoms, fractional coordinates:
Sr1 0.9997 0.2500 0.0502 [4 per cell]  1 Ge 3.39, 4 Sb 3.44-3.47, 1 Sr 3.75
Sr2 0.0858 0.0255 0.6674 [8 per cell]  2 Ge 3.10-3.19, 1 Sb 3.45
Sr3 0.1927 0.7500 0.3418 [4 per cell]  1 Ge 3.15
Sr4 0.2150 0.2500 0.3189 [4 per cell]  1 Ge 3.23, 4 Sb 3.49-3.50
Ge1 0.0062 0.7500 0.5548 [4 per cell]  7 Sr 3.10-3.39
Sb1 0.1698 0.5042 0.0447 [8 per cell]  8 Sr 3.44-3.60

## Properties
* energy: -3.536 eV per atom


(6)
A plane-wave DFT calculation with PBE was carried out for a geometry-optimized NiMoPt2 structure.

a b c (Å): 4.4712 5.4119 4.7711
angles (deg): 90.00 90.00 90.00
Last column: nearest neighbours and their distance in Å.
Space group Pmmn (No. 59, origin choice 2)
Inequivalent atoms, fractional coordinates:
Ni1 0.2500 0.2500 0.1575 [2 per cell]  8 Pt 2.67-2.81, 4 Mo 2.69-2.71
Mo1 0.2500 0.7500 0.1561 [2 per cell]  8 Pt 2.67-2.82, 4 Ni 2.69-2.71
Pt1 0.2500 0.0011 0.6748 [4 per cell]  4 Ni 2.67-2.81, 4 Mo 2.67-2.82, 4 Pt 2.69-2.79

## Properties
* energy: -7.469 eV per atom
* relative energy among the computed polymorphs: 0.000 eV/atom
* formation energy from the elements: -0.296 eV per atom


(7)
A plane-wave DFT calculation with PBE was carried out for a geometry-optimized Hf4AlAs structure.

a b c (Å): 7.6754 12.1449 5.5303
angles (deg): 90.00 109.94 90.00
Last column: nearest neighbours and their distance in Å.
Space group C2/c (No. 15)
Inequivalent atoms, fractional coordinates:
Hf1 0.0991 0.1891 0.0557 [8 per cell]  2 As 2.75-2.80, 2 Al 2.90-3.04, 2 Hf 2.99-3.03
Hf2 0.2020 0.4059 0.3640 [8 per cell]  2 As 2.79-2.81, 2 Al 2.90-3.04, 3 Hf 2.92-3.09
Al1 0.0000 0.3878 0.7500 [4 per cell]  10 Hf 2.90-3.22
As1 0.0000 0.0048 0.7500 [4 per cell]  8 Hf 2.75-2.81, 2 As 2.77

## Properties
* energy: -8.412 eV per atom
* relative energy among the computed polymorphs: 0.178 eV/atom
* formation energy from the elements: -0.377 eV per atom


(8)
A plane-wave DFT calculation with PBE was carried out for a geometry-optimized PRh2 structure.

a b c (Å): 3.9434 3.9434 2.8206
angles (deg): 90.00 90.00 90.00
Last column: nearest neighbours and their distance in Å.
Space group P4/mmm (No. 123)
Inequivalent atoms, fractional coordinates:
P1 0.0000 0.0000 0.0000 [1 per cell]  8 Rh 2.42
Rh1 0.0000 0.5000 0.5000 [2 per cell]  4 P 2.42

## Properties
* energy: -7.076 eV per atom
* formation energy from the elements: -0.372 eV per atom


(9)
A plane-wave DFT calculation with PBE was carried out for a geometry-optimized TmTh6Se12 structure.

a b c (Å): 12.8926 12.8926 11.7066
angles (deg): 90.00 90.00 120.00
Last column: nearest neighbours and their distance in Å.
Space group R-3 (No. 148, hexagonal axes)
Inequivalent atoms, fractional coordinates:
Tm1 0.0000 0.0000 0.0000 [3 per cell]  6 Se 2.77
Th1 0.0523 0.7778 0.6412 [18 per cell]  7 Se 2.92-3.18
Se1 0.0363 0.8234 0.3882 [18 per cell]  4 Th 2.93-3.05
Se2 0.0528 0.8451 0.8827 [18 per cell]  1 Tm 2.77, 2 Th 2.92-2.96

## Properties
* energy: -6.443 eV per atom


(10)
A plane-wave DFT calculation with PBE was carried out for a geometry-optimized PaSi2W4 structure.

a b c (Å): 4.4235 12.9155 4.3660
angles (deg): 90.00 90.00 90.00
Last column: nearest neighbours and their distance in Å.
Space group Cmmm (No. 65)
Inequivalent atoms, fractional coordinates:
Pa1 0.0000 0.0000 0.0000 [2 per cell]  8 W 3.28-3.33, 8 Si 3.32
Si1 0.0000 0.4087 0.5000 [4 per cell]  1 Si 2.36, 4 W 2.55
W1 0.0000 0.1892 0.5000 [4 per cell]  3 Si 2.55-2.84, 4 W 2.66-2.71
W2 0.0000 0.3069 0.0000 [4 per cell]  2 Si 2.55, 4 W 2.66

## Properties
* energy: -10.368 eV per atom


(11)
A plane-wave DFT calculation with PBE was carried out for a geometry-optimized CaTa2As structure.

a b c (Å): 4.0424 4.0424 9.7619
angles (deg): 90.00 90.00 90.00
Last column: nearest neighbours and their distance in Å.
Space group I4/mmm (No. 139)
Inequivalent atoms, fractional coordinates:
Ca1 0.0000 0.0000 0.0000 [2 per cell]  4 As 2.86, 8 Ta 3.17
Ta1 0.0000 0.5000 0.2500 [4 per cell]  4 Ta 2.86, 4 Ca 3.17, 4 As 3.17
As1 0.0000 0.0000 0.5000 [2 per cell]  4 Ca 2.86, 8 Ta 3.17

## Properties
* energy: -7.287 eV per atom
* formation energy from the elements: 0.302 eV per atom


(12)
A plane-wave DFT calculation with PBE was carried out for a geometry-optimized AcCd5In7 structure.

a b c (Å): 5.9902 11.0185 10.3696
angles (deg): 90.00 90.00 90.00
Last column: nearest neighbours and their distance in Å.
Space group Imm2 (No. 44)
Inequivalent atoms, fractional coordinates:
Ac1 0.0000 0.0000 0.0000 [2 per cell]  10 In 3.64-3.88, 6 Cd 3.78-4.06
Cd1 0.0000 0.5000 0.7221 [2 per cell]  4 Cd 3.11, 6 In 3.14-3.35
Cd2 0.2500 0.2453 0.2537 [8 per cell]  3 Cd 2.99-3.11, 6 In 3.04-3.27
In1 0.0000 0.0000 0.3557 [2 per cell]  1 In 3.04, 6 Cd 3.27-3.30
In2 0.0000 0.0000 0.6491 [2 per cell]  3 In 3.04-3.30, 4 Cd 3.36
In3 0.0000 0.3029 0.5037 [4 per cell]  5 Cd 3.04-3.14, 1 In 3.15
In4 0.0000 0.3519 0.0044 [4 per cell]  5 Cd 3.19-3.35, 4 In 3.26-3.45
In5 0.0000 0.5000 0.2831 [2 per cell]  6 In 3.15-3.32, 4 Cd 3.20

## Properties
* energy: -2.227 eV per atom
* formation energy from the elements: -0.085 eV per atom


Question: What is the energy in the eighth record?
Answer: -7.076 eV per atom


Question: The highest energy belongs to which entry?
Answer: AcCd5In7